No. 1
Material: Nd5Zn2Ga
Method: DFT, PBE
State: optimized geometry

Cell lengths 7.6105, 7.6105, 15.5511 Å; angles 90.00, 90.00, 90.00 degrees
Space group I4/mcm (No. 140)
Unique sites:
Nd (0.0000, 0.0000, 0.0000)
Nd (0.1688, 0.3312, 0.1523)
Zn (0.1187, 0.3813, 0.5000)
Ga (0.0000, 0.0000, 0.2500)

***

No. 2
Material: NdZn2Ga2
Method: DFT, PBE
State: optimized geometry

Cell lengths 4.2355, 4.2355, 10.7031 Å; angles 90.00, 90.00, 90.00 degrees
Space group I4/mmm (No. 139)
Unique sites:
Nd (0.0000, 0.0000, 0.0000)
Zn (0.0000, 0.5000, 0.2500)
Ga (0.0000, 0.0000, 0.3843)

***

No. 3
Material: Nd2Zn7Ga
Method: DFT, PBE
State: optimized geometry

Cell lengths 4.2837, 4.2837, 10.4398 Å; angles 90.00, 90.00, 90.00 degrees
Space group P-4m2 (No. 115)
Unique sites:
Nd (0.0000, 0.5000, 0.2483)
Zn (0.0000, 0.0000, 0.0000)
Zn (0.0000, 0.5000, 0.6351)
Zn (0.0000, 0.5000, 0.8692)
Zn (0.5000, 0.5000, 0.0000)
Zn (0.5000, 0.5000, 0.5000)
Ga (0.0000, 0.0000, 0.5000)

***

No. 4
Material: Nd3Zn3Ga2
Method: DFT, PBE
State: optimized geometry

Cell lengths 4.5230, 10.7521, 15.0079 Å; angles 90.00, 90.00, 90.00 degrees
Space group Cmcm (No. 63)
Unique sites:
Nd (0.0000, 0.1001, 0.1057)
Nd (0.0000, 0.3842, 0.2500)
Zn (0.0000, 0.3266, 0.7500)
Zn (0.0000, 0.3857, 0.0354)
Ga (0.0000, 0.1978, 0.6018)

***

No. 5
Material: Nd3ZnGa2
Method: DFT, PBE
State: optimized geometry

Cell lengths 5.2287, 5.2287, 12.8154 Å; angles 90.00, 90.00, 120.00 degrees
Space group P-3m1 (No. 164)
Unique sites:
Nd (0.0000, 0.0000, 0.2500)
Nd (0.3333, 0.6667, 0.4167)
Nd (0.3333, 0.6667, 0.9172)
Zn (0.3333, 0.6667, 0.1677)
Ga (0.0000, 0.0000, 0.0000)
Ga (0.0000, 0.0000, 0.5000)
Ga (0.3333, 0.6667, 0.6705)

Computed properties:
relative energy among the computed polymorphs = 0 meV/atom

***

No. 6
Material: Nd2Zn6Ga3
Method: DFT, PBE
State: optimized geometry

Cell lengths 7.7131, 7.7131, 4.1189 Å; angles 90.00, 90.00, 120.00 degrees
Space group P-62m (No. 189)
Unique sites:
Nd (0.3333, 0.6667, 0.0000)
Zn (0.0000, 0.2898, 0.5000)
Zn (0.0000, 0.8102, 0.0000)
Ga (0.0000, 0.6215, 0.5000)

***

No. 7
Material: Nd2Zn9Ga3
Method: DFT, PBE
State: optimized geometry

Cell lengths 13.6271, 7.9307, 9.2195 Å; angles 90.00, 90.00, 90.00 degrees
Space group Cmcm (No. 63)
Unique sites:
Nd (0.1625, 0.1588, 0.2500)
Zn (0.0000, 0.1486, 0.7500)
Zn (0.0000, 0.3389, 0.0600)
Zn (0.0948, 0.4518, 0.7500)
Zn (0.1568, 0.1867, 0.5922)
Ga (0.0000, 0.0000, 0.0000)
Ga (0.1888, 0.5000, 0.0000)

***

No. 8
Material: NdZn2Ga2
Method: DFT, PBE
State: optimized geometry

Cell lengths 5.9745, 6.0056, 6.1366 Å; angles 90.00, 119.01, 90.00 degrees
Space group C2/m (No. 12)
Unique sites:
Nd (0.0000, 0.0000, 0.0000)
Zn (0.1122, 0.5000, 0.2252)
Ga (0.0000, 0.2490, 0.5000)

***

No. 9
Material: Nd3Zn2Ga
Method: DFT, PBE
State: optimized geometry

Cell lengths 5.2161, 15.6919, 3.6850 Å; angles 90.00, 90.00, 90.00 degrees
Space group Cmmm (No. 65)
Unique sites:
Nd (0.0000, 0.0000, 0.0000)
Nd (0.0000, 0.3345, 0.0000)
Zn (0.0000, 0.1696, 0.5000)
Ga (0.0000, 0.5000, 0.5000)

Computed properties:
relative energy among the computed polymorphs = 0 meV/atom

***

No. 10
Material: Nd3Zn8Ga3
Method: DFT, PBE
State: optimized geometry

Cell lengths 4.3749, 9.6822, 12.7921 Å; angles 90.00, 90.00, 90.00 degrees
Space group Immm (No. 71)
Unique sites:
Nd (0.0000, 0.0000, 0.0000)
Nd (0.0000, 0.0000, 0.3134)
Zn (0.0000, 0.2709, 0.1418)
Zn (0.0000, 0.3693, 0.3354)
Ga (0.0000, 0.2189, 0.5000)
Ga (0.0000, 0.5000, 0.0000)

***

No. 11
Material: Nd3Zn6Ga5
Method: DFT, PBE
State: optimized geometry

Cell lengths 4.3343, 12.8476, 9.7522 Å; angles 90.00, 90.00, 90.00 degrees
Space group Pmmn (No. 59, origin choice 2)
Unique sites:
Nd (0.2500, 0.0635, 0.2475)
Nd (0.2500, 0.7500, 0.2502)
Zn (0.2500, 0.0855, 0.6141)
Zn (0.2500, 0.2500, 0.0339)
Zn (0.2500, 0.2500, 0.4626)
Zn (0.2500, 0.6006, 0.9822)
Ga (0.2500, 0.0908, 0.8743)
Ga (0.2500, 0.6119, 0.5256)
Ga (0.2500, 0.7500, 0.7713)

***

No. 12
Material: NdZnGa2
Method: DFT, PBE
State: optimized geometry

Cell lengths 4.3810, 4.3810, 4.3373 Å; angles 90.00, 90.00, 90.00 degrees
Space group P4/mmm (No. 123)
Unique sites:
Nd (0.0000, 0.0000, 0.0000)
Zn (0.5000, 0.5000, 0.0000)
Ga (0.0000, 0.5000, 0.5000)

***

Number 1: ΔE_f -0.27 eV/atom, calculated density 6.8 g/cm3, total moment 0.000 μB/atom. Number 2: ΔE_f -0.50 eV/atom, calculated density 7.2 g/cm3, total moment 0.000 μB/atom. Number 3: ΔE_f -0.35 eV/atom, calculated density 7.1 g/cm3, total moment 0.000 μB/atom. Number 4: ΔE_f -0.47 eV/atom, calculated density 7.0 g/cm3, total moment 0.000 μB/atom. Number 5: ΔE_f -0.48 eV/atom, calculated density 7.0 g/cm3, total moment 0.000 μB/atom. Number 6: ΔE_f -0.36 eV/atom, calculated density 7.0 g/cm3, total moment 0.000 μB/atom. Number 7: ΔE_f -0.27 eV/atom, calculated density 7.2 g/cm3, total moment 0.000 μB/atom. Number 8: ΔE_f -0.46 eV/atom, calculated density 7.1 g/cm3, total moment 0.000 μB/atom. Number 9: ΔE_f -0.39 eV/atom, calculated density 7.0 g/cm3, total moment 0.000 μB/atom. Number 10: ΔE_f -0.38 eV/atom, calculated density 7.1 g/cm3, total moment 0.000 μB/atom. Number 11: ΔE_f -0.45 eV/atom, calculated density 7.2 g/cm3, total moment 0.000 μB/atom. Number 12: ΔE_f -0.42 eV/atom, calculated density 7.0 g/cm3, total moment 0.000 μB/atom.